{"formula": "Li2MnFeB2O6", "functional": "GGA+U", "state": "relaxed", "dft_energy_ev_per_atom": -7.112, "relative_energy_kj_per_mol_fu": 4, "lattice_angstrom": [[-0.031, 0.621, 3.100], [-8.231, -0.515, 0.021], [0.840, -13.960, 2.806]], "species": ["Li", "Li", "Li", "Li", "Li", "Li", "Mn", "Mn", "Mn", "Fe", "Fe", "Fe", "B", "B", "B", "B", "B", "B", "O", "O", "O", "O", "O", "O", "O", "O", "O", "O", "O", "O", "O", "O", "O", "O", "O", "O"], "frac_coords": [[0.500, 0.712, 0.009], [0.500, 0.661, 0.640], [0.500, 0.634, 0.351], [0.500, 0.210, 0.508], [0.500, 0.154, 0.141], [0.500, 0.131, 0.851], [0.000, 0.368, 0.993], [0.000, 0.326, 0.686], [0.000, 0.307, 0.318], [0.000, 0.866, 0.497], [0.000, 0.823, 0.191], [0.000, 0.813, 0.820], [0.500, 0.997, 0.335], [0.000, 0.997, 0.002], [0.500, 0.999, 0.667], [0.500, 0.504, 0.833], [0.000, 0.501, 0.498], [0.500, 0.499, 0.165], [0.500, 0.990, 0.570], [0.500, 0.981, 0.237], [0.500, 0.861, 0.392], [0.500, 0.859, 0.721], [0.000, 0.846, 0.043], [0.500, 0.656, 0.873], [0.500, 0.649, 0.210], [0.000, 0.639, 0.554], [0.000, 0.517, 0.401], [0.500, 0.492, 0.068], [0.500, 0.488, 0.735], [0.500, 0.364, 0.888], [0.500, 0.357, 0.218], [0.000, 0.348, 0.539], [0.500, 0.151, 0.374], [0.500, 0.150, 0.710], [0.000, 0.137, 0.056], [0.000, 0.012, 0.904]]}